1.
Entry from the Alexandria database: a geometry-optimized Zr3HPt structure (PBE-GGA).

Unit cell a=4.3717 b=4.3717 c=4.3717 alpha=90.00 beta=90.00 gamma=90.00
With the nearest neighbours (Å) after each atom.
Sites, in units of the cell vectors:
Zr1 0.0000 0.0000 0.5000  2 H 2.19
Zr2 0.0000 0.5000 0.0000  2 H 2.19
Zr3 0.5000 0.0000 0.0000  2 H 2.19
H1 0.0000 0.0000 0.0000  6 Zr 2.19
Pt1 0.5000 0.5000 0.5000  12 Zr 3.09

Calculated values
- Size of the total moment: 0.000 μB per atom
- Energy above the lowest structure with this stoichiometry: 0.000 eV per atom
- DOS at the Fermi energy: 5.00 states/eV/cell

***

2.
Entry from the Alexandria database: a geometry-optimized ZrH2Pt2 structure (PBE-GGA).

Unit cell a=5.8122 b=5.8122 c=3.6955 alpha=90.00 beta=90.00 gamma=90.00
With the nearest neighbours (Å) after each atom.
Sites, in units of the cell vectors:
Zr1 0.0000 0.0000 0.0000  4 H 2.21
Zr2 0.5000 0.5000 0.0000  4 H 2.21
H1 0.1505 0.3495 0.0000  2 Pt 1.85
H2 0.3495 0.8495 0.0000  2 Pt 1.85
H3 0.6505 0.1505 0.0000  2 Pt 1.85
H4 0.8495 0.6505 0.0000  2 Pt 1.85
Pt1 0.1620 0.3380 0.5000  2 H 1.85
Pt2 0.3380 0.8380 0.5000  2 H 1.85
Pt3 0.6620 0.1620 0.5000  2 H 1.85
Pt4 0.8380 0.6620 0.5000  2 H 1.85

Calculated values
- Size of the total moment: 0.000 μB per atom
- Energy above the lowest structure with this stoichiometry: 0.000 eV per atom
- DOS at the Fermi energy: 2.17 states/eV/cell

***

3.
Entry from the Alexandria database: a geometry-optimized ZrH2Pt2 structure (PBE-GGA).

Unit cell a=5.0773 b=5.0773 c=5.0773 alpha=137.79 beta=137.79 gamma=61.22
With the nearest neighbours (Å) after each atom.
Sites, in units of the cell vectors:
Zr1 0.0000 0.0000 0.0000  8 H 2.85, 10 Pt 2.95-2.96
H1 0.2500 0.7500 0.5000  4 Pt 1.98
H2 0.7500 0.2500 0.5000  4 Pt 1.98
Pt1 0.3382 0.3382 0.0000  4 H 1.98
Pt2 0.6618 0.6618 0.0000  4 H 1.98

Calculated values
- Size of the total moment: 0.000 μB per atom
- Energy above the lowest structure with this stoichiometry: 0.065 eV per atom
- DOS at the Fermi energy: 1.12 states/eV/cell

***

4.
Entry from the Alexandria database: a geometry-optimized Zr2HPt structure (PBE-GGA).

Unit cell a=5.5588 b=5.5588 c=5.5588 alpha=111.23 beta=111.23 gamma=106.02
With the nearest neighbours (Å) after each atom.
Sites, in units of the cell vectors:
Zr1 0.0533 0.6250 0.9283  2 H 2.10
Zr2 0.3750 0.3033 0.4283  2 H 2.10
Zr3 0.6967 0.1250 0.0717  2 H 2.10
Zr4 0.8750 0.9467 0.5717  2 H 2.10
H1 0.0000 0.0000 0.0000  4 Zr 2.10
H2 0.7500 0.2500 0.5000  4 Zr 2.10
Pt1 0.2500 0.7500 0.5000  4 Zr 2.69
Pt2 0.5000 0.5000 0.0000  4 Zr 2.69

Calculated values
- Size of the total moment: 0.000 μB per atom
- Energy above the lowest structure with this stoichiometry: 0.000 eV per atom
- DOS at the Fermi energy: 7.52 states/eV/cell

***

5.
Entry from the Alexandria database: a geometry-optimized ZrHPt3 structure (PBE-GGA).

Unit cell a=5.0272 b=5.0272 c=5.0272 alpha=90.00 beta=90.00 gamma=90.00
With the nearest neighbours (Å) after each atom.
Sites, in units of the cell vectors:
Zr1 0.0000 0.0000 0.0000  6 Pt 2.51
H1 0.5000 0.5000 0.5000  12 Pt 3.55
Pt1 0.0000 0.0000 0.5000  2 Zr 2.51
Pt2 0.0000 0.5000 0.0000  2 Zr 2.51
Pt3 0.5000 0.0000 0.0000  2 Zr 2.51

Calculated values
- Size of the total moment: 0.169 μB per atom
- Energy above the lowest structure with this stoichiometry: 1.866 eV per atom
- DOS at the Fermi energy: 3.89 states/eV/cell

***

6.
Entry from the Alexandria database: a geometry-optimized Pu3H2 structure (PBE-GGA).

Unit cell a=7.3572 b=7.3572 c=7.3572 alpha=36.80 beta=36.80 gamma=36.80
With the nearest neighbours (Å) after each atom.
Sites, in units of the cell vectors:
Pu1 0.0861 0.7500 0.4139  4 H 2.29-2.33
Pu2 0.2500 0.5861 0.9139  4 H 2.29-2.33
Pu3 0.4139 0.0861 0.7500  4 H 2.29-2.33
Pu4 0.5861 0.9139 0.2500  4 H 2.29-2.33
Pu5 0.7500 0.4139 0.0861  4 H 2.29-2.33
Pu6 0.9139 0.2500 0.5861  4 H 2.29-2.33
H1 0.1660 0.1660 0.1660  6 Pu 2.29-2.33
H2 0.3340 0.3340 0.3340  6 Pu 2.29-2.33
H3 0.6660 0.6660 0.6660  6 Pu 2.29-2.33
H4 0.8340 0.8340 0.8340  6 Pu 2.29-2.33

Calculated values
- Size of the total moment: 1.041 μB per atom
- DOS at the Fermi energy: 17.14 states/eV/cell
- E: -48.31 eV/f.u.